# CsLiCl2 PBE relaxed
# Raw formation energy (eV/atom): -1.524
# Space group: Fm-3m (225)
# Calculated volume (Å³/cell): 119.1
data_CsLiCl2
_space_group_name_H-M_alt 'P 1'
_space_group_IT_number 1
_space_group_name_Hall 'P 1'
_cell_length_a 5.523
_cell_length_b 5.523
_cell_length_c 5.523
_cell_angle_alpha 60.00
_cell_angle_beta 60.00
_cell_angle_gamma 60.00
loop_
_atom_site_label
_atom_site_fract_x
_atom_site_fract_y
_atom_site_fract_z
Cs1 0.000 0.000 0.000
Li1 0.500 0.500 0.500
Cl1 0.250 0.250 0.250
Cl2 0.750 0.750 0.750

# Cs3LiCl PBE relaxed
# Raw formation energy (eV/atom): -0.672
# Space group: Pm-3m (221)
# Calculated volume (Å³/cell): 331.2
data_Cs3LiCl
_space_group_name_H-M_alt 'P 1'
_space_group_IT_number 1
_space_group_name_Hall 'P 1'
_cell_length_a 6.919
_cell_length_b 6.919
_cell_length_c 6.919
_cell_angle_alpha 90.00
_cell_angle_beta 90.00
_cell_angle_gamma 90.00
loop_
_atom_site_label
_atom_site_fract_x
_atom_site_fract_y
_atom_site_fract_z
Cs1 0.000 0.000 0.500
Cs2 0.000 0.500 0.000
Cs3 0.500 0.000 0.000
Li1 0.500 0.500 0.500
Cl1 0.000 0.000 0.000

# CsLiCl2 PBE relaxed
# Raw formation energy (eV/atom): -1.742
# Space group: R3m (160)
# Calculated volume (Å³/cell): 113.5
data_CsLiCl2
_space_group_name_H-M_alt 'P 1'
_space_group_IT_number 1
_space_group_name_Hall 'P 1'
_cell_length_a 7.942
_cell_length_b 7.942
_cell_length_c 7.942
_cell_angle_alpha 30.37
_cell_angle_beta 30.37
_cell_angle_gamma 30.37
loop_
_atom_site_label
_atom_site_fract_x
_atom_site_fract_y
_atom_site_fract_z
Cs1 0.000 0.000 0.000
Li1 0.169 0.169 0.169
Cl1 0.562 0.562 0.562
Cl2 0.773 0.773 0.773

# Cs2Li2Cl PBE relaxed
# Raw formation energy (eV/atom): -0.459
# Space group: I4/mmm (139)
# Calculated volume (Å³/cell): 243.1
data_Cs2Li2Cl
_space_group_name_H-M_alt 'P 1'
_space_group_IT_number 1
_space_group_name_Hall 'P 1'
_cell_length_a 6.810
_cell_length_b 6.810
_cell_length_c 6.810
_cell_angle_alpha 109.28
_cell_angle_beta 109.28
_cell_angle_gamma 109.86
loop_
_atom_site_label
_atom_site_fract_x
_atom_site_fract_y
_atom_site_fract_z
Cs1 0.250 0.750 0.500
Cs2 0.750 0.250 0.500
Li1 0.196 0.196 0.000
Li2 0.804 0.804 0.000
Cl1 0.500 0.500 0.000